Pd2Se2Br, relaxed, DFT PBE; uncorrected energy = -20.25 eV/f.u.; symmetry = No. 11; polymorph energy (0 for the lowest one) = 0.0 meV/atom
1.0
5.142 0.000 0.000
0.000 3.766 0.000
-0.013 0.000 12.243
Pd Se Br
4 4 2
Direct
0.250 0.250 0.084
0.250 0.250 0.416
0.750 0.750 0.584
0.750 0.750 0.916
0.250 0.750 0.550
0.250 0.750 0.950
0.750 0.250 0.050
0.750 0.250 0.450
0.249 0.750 0.250
0.751 0.250 0.750



Pd2SeBr8, relaxed, DFT PBE; uncorrected energy = -28.28 eV/f.u.; symmetry = No. 12
1.0
5.419 -5.034 0.000
5.419 5.034 0.000
-3.469 0.000 7.791
Pd Se Br
2 1 8
Direct
0.185 0.185 0.097
0.815 0.815 0.903
0.500 0.500 0.500
0.003 0.003 0.803
0.149 0.504 0.332
0.348 0.348 0.968
0.496 0.851 0.668
0.504 0.149 0.332
0.652 0.652 0.032
0.851 0.496 0.668
0.997 0.997 0.197



PdSe2Br, relaxed, DFT PBE; uncorrected energy = -13.21 eV/f.u.; symmetry = No. 166; polymorph energy (0 for the lowest one) = 414.4 meV/atom
1.0
1.473 0.850 12.684
-1.473 0.850 12.684
0.000 -1.701 12.684
Pd Se Br
1 2 1
Direct
0.000 0.000 0.000
0.064 0.064 0.064
0.936 0.936 0.936
0.500 0.500 0.500



> Look up the uncorrected energy of the second one.

-28.28 eV/f.u.